Material: Ba2ZrTiS6
Method: DFT, GGA-PBE
State: optimized geometry

Uncorrected energy (eV per formula unit): -62.023
Uncorrected formation energy (eV per atom): -1.6970

Lattice parameters (Å, degrees): 12.428 12.428 12.428 32.53 32.53 32.53
Fractional positions:
Ba: 0.127 0.127 0.127
Ba: 0.292 0.292 0.292
Ba: 0.708 0.708 0.708
Ba: 0.873 0.873 0.873
Zr: 0.413 0.413 0.413
Zr: 0.587 0.587 0.587
Ti: 0.000 0.000 0.000
Ti: 0.500 0.500 0.500
S: 0.129 0.624 0.624
S: 0.201 0.201 0.716
S: 0.201 0.716 0.201
S: 0.284 0.799 0.799
S: 0.376 0.376 0.871
S: 0.376 0.871 0.376
S: 0.624 0.129 0.624
S: 0.624 0.624 0.129
S: 0.716 0.201 0.201
S: 0.799 0.284 0.799
S: 0.799 0.799 0.284
S: 0.871 0.376 0.376